# 1
The following is a DFT calculation (PBE) of a geometry-optimized ErGa4Pd7 structure.

The value obtained for the raw total energy is -0.3627 Ry/atom. For the magnetic moment, the calculation gives 0.00 μB/f.u.

The structure belongs to space group C2/m (No. 12); the cell edges are 11.483, 4.827 and 9.152 Å and the angles 90.00°, 125.47° and 90.00°. The distinct sites, in fractional coordinates, are Er at (0.000, 0.000, 0.000), Ga at (0.080, 0.500, 0.782), Ga at (0.211, 0.500, 0.334), Pd at (0.000, 0.500, 0.000), Pd at (0.068, 0.000, 0.351), Pd at (0.153, 0.500, 0.573) and Pd at (0.220, 0.000, 0.882).

***

# 2
The following is a DFT calculation (PBE) of a geometry-optimized MnPCS structure.

For the magnetic moment, the calculation gives 0.00 μB/f.u. The formation energy (no corrections) is 180 meV/atom.

The structure belongs to space group Cm (No. 8); the cell edges are 14.344, 2.918 and 2.696 Å and the angles 90.00°, 99.30° and 90.00°. The distinct sites, in fractional coordinates, are Mn at (0.000, 0.000, 0.000), P at (0.320, 0.000, 0.345), C at (0.395, 0.500, 0.410) and S at (0.080, 0.500, 0.569).

***

# 3
The following is a DFT calculation (PBE) of a geometry-optimized SiHIN2 structure.

The value obtained for the raw total energy is -0.2276 Ry/atom. For the magnetic moment, the calculation gives 1.00 μB/f.u.

The structure belongs to space group P4/mmm (No. 123); the cell edges are 4.231, 4.231 and 3.463 Å and the angles 90.00°, 90.00° and 90.00°. The distinct sites, in fractional coordinates, are Si at (0.000, 0.000, 0.000), H at (0.500, 0.500, 0.500), I at (0.500, 0.500, 0.000) and N at (0.000, 0.500, 0.500).

***

# 4
The following is a DFT calculation (PBE) of a geometry-optimized CaTlAuSe structure.

For the magnetic moment, the calculation gives 0.00 μB/f.u. The formation energy (no corrections) is -851 meV/atom.

The structure belongs to space group Pmm2 (No. 25); the cell edges are 4.128, 6.522 and 4.131 Å and the angles 90.00°, 90.00° and 90.00°. The distinct sites, in fractional coordinates, are Ca at (0.000, 0.000, 0.000), Tl at (0.500, 0.500, 0.503), Au at (0.000, 0.500, 0.003) and Se at (0.500, 0.000, 0.500).

***

# 5
The following is a DFT calculation (PBE) of a geometry-optimized MgZnRu2 structure.

The value obtained for the raw total energy is -0.3868 Ry/atom. For the magnetic moment, the calculation gives 0.00 μB/f.u.

The structure belongs to space group C2/m (No. 12); the cell edges are 8.922, 2.799 and 4.815 Å and the angles 90.00°, 101.10° and 90.00°. The distinct sites, in fractional coordinates, are Mg at (0.000, 0.000, 0.000), Zn at (0.000, 0.500, 0.500) and Ru at (0.245, 0.000, 0.739).

***

# 6
The following is a DFT calculation (PBE) of a geometry-optimized AlAsSe2 structure.

For the magnetic moment, the calculation gives 0.00 μB/f.u. The formation energy (no corrections) is 193 meV/atom.

The structure belongs to space group Fm-3m (No. 225); the cell edges are 6.751, 6.751 and 6.751 Å and the angles 90.00°, 90.00° and 90.00°. The distinct sites, in fractional coordinates, are Al at (0.000, 0.000, 0.000), As at (0.000, 0.000, 0.500) and Se at (0.250, 0.250, 0.250).

***

# 7
The following is a DFT calculation (PBE) of a geometry-optimized NaLaMg2Pt structure.

The value obtained for the raw total energy is -0.2571 Ry/atom. For the magnetic moment, the calculation gives 0.00 μB/f.u.

The structure belongs to space group P4/mmm (No. 123); the cell edges are 5.263, 5.263 and 5.447 Å and the angles 90.00°, 90.00° and 90.00°. The distinct sites, in fractional coordinates, are Na at (0.000, 0.000, 0.000), La at (0.500, 0.500, 0.000), Mg at (0.000, 0.500, 0.500) and Pt at (0.500, 0.500, 0.500).

***

# 8
The following is a DFT calculation (PBE) of a geometry-optimized La6ThO12 structure.

For the magnetic moment, the calculation gives 2.21 μB/f.u. The formation energy (no corrections) is -3288 meV/atom.

The structure belongs to space group R-3 (No. 148, hexagonal axes); the cell edges are 10.6667, 10.6667 and 9.9798 Å and the angles 90.00°, 90.00° and 120.00°. The distinct sites, in fractional coordinates, are La at (0.0462, 0.2559, 0.1502), Th at (0.0000, 0.0000, 0.5000), O at (0.0359, 0.2231, 0.9004) and O at (0.0413, 0.2074, 0.3931).

***

# 9
The following is a DFT calculation (PBE) of a geometry-optimized NiAgTe3 structure.

For the magnetic moment, the calculation gives 0.00 μB/f.u. The formation energy (no corrections) is 395 meV/atom.

The structure belongs to space group Pm-3m (No. 221); the cell edges are 5.063, 5.063 and 5.063 Å and the angles 90.00°, 90.00° and 90.00°. The distinct sites, in fractional coordinates, are Ni at (0.000, 0.000, 0.000), Ag at (0.500, 0.500, 0.500) and Te at (0.000, 0.000, 0.500).

***

# 10
The following is a DFT calculation (PBE) of a geometry-optimized NaTbCe2Se4 structure.

For the magnetic moment, the calculation gives 2.43 μB/f.u. The formation energy (no corrections) is -1714 meV/atom.

The structure belongs to space group P2/m (No. 10); the cell edges are 7.258, 4.174 and 7.262 Å and the angles 90.00°, 109.27° and 90.00°. The distinct sites, in fractional coordinates, are Na at (0.000, 0.000, 0.000), Tb at (0.500, 0.500, 0.000), Ce at (0.000, 0.500, 0.500), Ce at (0.500, 0.000, 0.500), Se at (0.252, 0.500, 0.245) and Se at (0.255, 0.000, 0.759).

***

# 11
The following is a DFT calculation (PBE) of a geometry-optimized KTmCu2O4 structure.

For the magnetic moment, the calculation gives 0.00 μB/f.u. The formation energy (no corrections) is -1692 meV/atom.

The structure belongs to space group P4/mmm (No. 123); the cell edges are 3.861, 3.861 and 7.100 Å and the angles 90.00°, 90.00° and 90.00°. The distinct sites, in fractional coordinates, are K at (0.000, 0.000, 0.000), Tm at (0.000, 0.000, 0.500), Cu at (0.500, 0.500, 0.282) and O at (0.000, 0.500, 0.304).

***

# 12
The following is a DFT calculation (PBE) of a geometry-optimized Rb3InBr6 structure.

For the magnetic moment, the calculation gives 0.00 μB/f.u. The formation energy (no corrections) is -1398 meV/atom.

The structure belongs to space group P2_1/c (No. 14); the cell edges are 8.101, 8.554 and 14.015 Å and the angles 90.00°, 124.60° and 90.00°. The distinct sites, in fractional coordinates, are Rb at (0.000, 0.000, 0.000), Rb at (0.219, 0.073, 0.746), In at (0.500, 0.000, 0.500), Br at (0.177, 0.174, 0.449), Br at (0.269, 0.734, 0.432) and Br at (0.398, 0.045, 0.280).